(1)
A relaxed structure of Sr2Mg2Ru, computed with PBE-GGA.

Output
- energy relative to the lowest polymorph listed for this composition (kJ per mole of atoms) = 18.32
- Fermi-level density of states (states/eV/cell) = 8.2
- calculated total energy (eV for the cell shown) = -25.3
- energy of formation from the pure elements (eV per atom) = 0.639
- M_tot (μB/atom) = 0.000

Geometry as CIF:
```
data_Sr2Mg2Ru
_chemical_formula_sum 'Sr4 Mg4 Ru2'
_cell_length_a 7.727
_cell_length_b 7.727
_cell_length_c 5.314
_cell_angle_alpha 90.00
_cell_angle_beta 90.00
_cell_angle_gamma 90.00
_space_group_name_H-M_alt 'P 1'
_space_group_IT_number 1
loop_
_space_group_symop_operation_xyz
'x,y,z'
loop_
_atom_site_label
_atom_site_type_symbol
_atom_site_fract_x
_atom_site_fract_y
_atom_site_fract_z
_atom_site_occupancy
Sr1 Sr 0.663 0.163 0.000 1
Sr2 Sr 0.337 0.837 0.000 1
Sr3 Sr 0.837 0.663 0.000 1
Sr4 Sr 0.163 0.337 0.000 1
Mg1 Mg 0.149 0.649 0.500 1
Mg2 Mg 0.851 0.351 0.500 1
Mg3 Mg 0.351 0.149 0.500 1
Mg4 Mg 0.649 0.851 0.500 1
Ru1 Ru 0.000 0.000 0.000 1
Ru2 Ru 0.500 0.500 0.000 1
```

---

(2)
A relaxed structure of Sr2MgRu, computed with PBE-GGA.

Output
- Fermi-level density of states (states/eV/cell) = 1.9
- calculated total energy (eV for the cell shown) = -13.4
- energy of formation from the pure elements (eV per atom) = 0.199
- M_tot (μB/atom) = 0.000

Geometry as CIF:
```
data_Sr2MgRu
_chemical_formula_sum 'Sr2 Mg1 Ru1'
_cell_length_a 3.673
_cell_length_b 3.673
_cell_length_c 8.822
_cell_angle_alpha 90.00
_cell_angle_beta 90.00
_cell_angle_gamma 90.00
_space_group_name_H-M_alt 'P 1'
_space_group_IT_number 1
loop_
_space_group_symop_operation_xyz
'x,y,z'
loop_
_atom_site_label
_atom_site_type_symbol
_atom_site_fract_x
_atom_site_fract_y
_atom_site_fract_z
_atom_site_occupancy
Mg1 Mg 0.000 0.000 0.579 1
Sr1 Sr 0.500 0.500 0.324 1
Sr2 Sr 0.000 0.000 0.918 1
Ru1 Ru 0.500 0.500 0.679 1
```

---

(3)
A relaxed structure of Sr2MgRu, computed with PBE-GGA.

Output
- Fermi-level density of states (states/eV/cell) = 2.8
- calculated total energy (eV for the cell shown) = -12.3
- energy of formation from the pure elements (eV per atom) = 0.488
- M_tot (μB/atom) = 0.082

Geometry as CIF:
```
data_Sr2MgRu
_chemical_formula_sum 'Sr2 Mg1 Ru1'
_cell_length_a 10.791
_cell_length_b 10.791
_cell_length_c 10.791
_cell_angle_alpha 19.76
_cell_angle_beta 19.76
_cell_angle_gamma 19.76
_space_group_name_H-M_alt 'P 1'
_space_group_IT_number 1
loop_
_space_group_symop_operation_xyz
'x,y,z'
loop_
_atom_site_label
_atom_site_type_symbol
_atom_site_fract_x
_atom_site_fract_y
_atom_site_fract_z
_atom_site_occupancy
Sr1 Sr 0.482 0.482 0.482 1
Sr2 Sr 0.018 0.018 0.018 1
Mg1 Mg 0.250 0.250 0.250 1
Ru1 Ru 0.750 0.750 0.750 1
```

---

(4)
A relaxed structure of Sr2Mg2Ru, computed with PBE-GGA.

Output
- energy relative to the lowest polymorph listed for this composition (kJ per mole of atoms) = 0.00
- Fermi-level density of states (states/eV/cell) = 5.9
- calculated total energy (eV for the cell shown) = -13.6
- energy of formation from the pure elements (eV per atom) = 0.449
- M_tot (μB/atom) = 0.022

Geometry as CIF:
```
data_Sr2Mg2Ru
_chemical_formula_sum 'Sr2 Mg2 Ru1'
_cell_length_a 3.858
_cell_length_b 3.858
_cell_length_c 10.624
_cell_angle_alpha 79.54
_cell_angle_beta 79.54
_cell_angle_gamma 90.00
_space_group_name_H-M_alt 'P 1'
_space_group_IT_number 1
loop_
_space_group_symop_operation_xyz
'x,y,z'
loop_
_atom_site_label
_atom_site_type_symbol
_atom_site_fract_x
_atom_site_fract_y
_atom_site_fract_z
_atom_site_occupancy
Mg1 Mg 0.250 0.750 0.500 1
Mg2 Mg 0.750 0.250 0.500 1
Sr1 Sr 0.584 0.584 0.831 1
Sr2 Sr 0.416 0.416 0.169 1
Ru1 Ru 0.000 0.000 0.000 1
```

---

(5)
A relaxed structure of Sr2MgRu, computed with PBE-GGA.

Output
- Fermi-level density of states (states/eV/cell) = 1.7
- calculated total energy (eV for the cell shown) = -12.6
- energy of formation from the pure elements (eV per atom) = 0.417
- M_tot (μB/atom) = 0.000

Geometry as CIF:
```
data_Sr2MgRu
_chemical_formula_sum 'Sr2 Mg1 Ru1'
_cell_length_a 5.447
_cell_length_b 5.447
_cell_length_c 5.447
_cell_angle_alpha 124.67
_cell_angle_beta 124.67
_cell_angle_gamma 82.08
_space_group_name_H-M_alt 'P 1'
_space_group_IT_number 1
loop_
_space_group_symop_operation_xyz
'x,y,z'
loop_
_atom_site_label
_atom_site_type_symbol
_atom_site_fract_x
_atom_site_fract_y
_atom_site_fract_z
_atom_site_occupancy
Ru1 Ru 0.750 0.250 0.500 1
Sr1 Sr 0.000 0.000 0.000 1
Sr2 Sr 0.250 0.750 0.500 1
Mg1 Mg 0.500 0.500 0.000 1
```

---

(6)
A relaxed structure of Sr2MgRu, computed with PBE-GGA.

Output
- Fermi-level density of states (states/eV/cell) = 3.0
- calculated total energy (eV for the cell shown) = -13.3
- energy of formation from the pure elements (eV per atom) = 0.237
- M_tot (μB/atom) = 0.040

Geometry as CIF:
```
data_Sr2MgRu
_chemical_formula_sum 'Sr2 Mg1 Ru1'
_cell_length_a 4.580
_cell_length_b 4.604
_cell_length_c 6.329
_cell_angle_alpha 68.68
_cell_angle_beta 90.00
_cell_angle_gamma 90.00
_space_group_name_H-M_alt 'P 1'
_space_group_IT_number 1
loop_
_space_group_symop_operation_xyz
'x,y,z'
loop_
_atom_site_label
_atom_site_type_symbol
_atom_site_fract_x
_atom_site_fract_y
_atom_site_fract_z
_atom_site_occupancy
Sr1 Sr 0.500 0.267 0.341 1
Sr2 Sr 0.000 0.984 0.906 1
Ru1 Ru 0.500 0.570 0.734 1
Mg1 Mg 0.000 0.678 0.519 1
```

---

(7)
A relaxed structure of SrMgRu, computed with PBE-GGA.

Output
- energy relative to the lowest polymorph listed for this composition (kJ per mole of atoms) = 0.00
- Fermi-level density of states (states/eV/cell) = 7.5
- calculated total energy (eV for the cell shown) = -47.9
- energy of formation from the pure elements (eV per atom) = 0.196
- M_tot (μB/atom) = 0.365

Geometry as CIF:
```
data_SrMgRu
_chemical_formula_sum 'Sr4 Mg4 Ru4'
_cell_length_a 6.344
_cell_length_b 7.375
_cell_length_c 7.536
_cell_angle_alpha 90.00
_cell_angle_beta 90.00
_cell_angle_gamma 115.47
_space_group_name_H-M_alt 'P 1'
_space_group_IT_number 1
loop_
_space_group_symop_operation_xyz
'x,y,z'
loop_
_atom_site_label
_atom_site_type_symbol
_atom_site_fract_x
_atom_site_fract_y
_atom_site_fract_z
_atom_site_occupancy
Ru1 Ru 0.088 0.176 0.965 1
Ru2 Ru 0.412 0.824 0.465 1
Ru3 Ru 0.588 0.176 0.535 1
Ru4 Ru 0.912 0.824 0.035 1
Mg1 Mg 0.288 0.076 0.250 1
Mg2 Mg 0.712 0.924 0.750 1
Mg3 Mg 0.212 0.924 0.750 1
Mg4 Mg 0.788 0.076 0.250 1
Sr1 Sr 0.187 0.373 0.592 1
Sr2 Sr 0.813 0.627 0.408 1
Sr3 Sr 0.313 0.627 0.092 1
Sr4 Sr 0.687 0.373 0.908 1
```

---

(8)
A relaxed structure of Sr4MgRu, computed with PBE-GGA.

Output
- Fermi-level density of states (states/eV/cell) = 12.5
- calculated total energy (eV for the cell shown) = -11.6
- energy of formation from the pure elements (eV per atom) = 0.997
- M_tot (μB/atom) = 0.011

Geometry as CIF:
```
data_Sr4MgRu
_chemical_formula_sum 'Sr4 Mg1 Ru1'
_cell_length_a 6.809
_cell_length_b 6.809
_cell_length_c 6.809
_cell_angle_alpha 60.00
_cell_angle_beta 60.00
_cell_angle_gamma 60.00
_space_group_name_H-M_alt 'P 1'
_space_group_IT_number 1
loop_
_space_group_symop_operation_xyz
'x,y,z'
loop_
_atom_site_label
_atom_site_type_symbol
_atom_site_fract_x
_atom_site_fract_y
_atom_site_fract_z
_atom_site_occupancy
Sr1 Sr 0.374 0.878 0.374 1
Sr2 Sr 0.374 0.374 0.374 1
Sr3 Sr 0.878 0.374 0.374 1
Sr4 Sr 0.374 0.374 0.878 1
Mg1 Mg 0.750 0.750 0.750 1
Ru1 Ru 0.000 0.000 0.000 1
```

---

(9)
A relaxed structure of SrMgRu, computed with PBE-GGA.

Output
- energy relative to the lowest polymorph listed for this composition (kJ per mole of atoms) = 32.93
- Fermi-level density of states (states/eV/cell) = 2.2
- calculated total energy (eV for the cell shown) = -10.9
- energy of formation from the pure elements (eV per atom) = 0.537
- M_tot (μB/atom) = 0.000

Geometry as CIF:
```
data_SrMgRu
_chemical_formula_sum 'Sr1 Mg1 Ru1'
_cell_length_a 3.429
_cell_length_b 3.429
_cell_length_c 7.229
_cell_angle_alpha 90.00
_cell_angle_beta 90.00
_cell_angle_gamma 120.00
_space_group_name_H-M_alt 'P 1'
_space_group_IT_number 1
loop_
_space_group_symop_operation_xyz
'x,y,z'
loop_
_atom_site_label
_atom_site_type_symbol
_atom_site_fract_x
_atom_site_fract_y
_atom_site_fract_z
_atom_site_occupancy
Sr1 Sr 0.333 0.667 0.616 1
Ru1 Ru 0.667 0.333 0.316 1
Mg1 Mg 0.000 0.000 0.068 1
```

---

(10)
A relaxed structure of Sr2MgRu, computed with PBE-GGA.

Output
- Fermi-level density of states (states/eV/cell) = 2.7
- calculated total energy (eV for the cell shown) = -13.2
- energy of formation from the pure elements (eV per atom) = 0.255
- M_tot (μB/atom) = 0.000

Geometry as CIF:
```
data_Sr2MgRu
_chemical_formula_sum 'Sr2 Mg1 Ru1'
_cell_length_a 6.714
_cell_length_b 6.714
_cell_length_c 5.529
_cell_angle_alpha 65.83
_cell_angle_beta 65.83
_cell_angle_gamma 31.64
_space_group_name_H-M_alt 'P 1'
_space_group_IT_number 1
loop_
_space_group_symop_operation_xyz
'x,y,z'
loop_
_atom_site_label
_atom_site_type_symbol
_atom_site_fract_x
_atom_site_fract_y
_atom_site_fract_z
_atom_site_occupancy
Ru1 Ru 0.768 0.768 0.733 1
Mg1 Mg 0.431 0.431 0.568 1
Sr1 Sr 0.053 0.053 0.946 1
Sr2 Sr 0.247 0.247 0.253 1
```